DFT (PBE) results for a relaxed structure of BeCdSe2.

Lattice parameters (Å, degrees): 3.9357 3.9357 5.9169 90.00 90.00 90.00
Closest atoms and distances in Å follow each position.
Atoms (fractional coordinates):
Be1 0.0000 0.0000 0.0000  4 Se 2.30
Cd1 0.5000 0.5000 0.5000  4 Se 2.65
Se1 0.0000 0.5000 0.7992  2 Be 2.30
Se2 0.5000 0.0000 0.2008  2 Be 2.30

Calculated values
magnetic moment = 0.000 μB per formula unit
calculated volume = 91.7 Å³/f.u.
excess energy over the best structure of this formula in the dataset = 50 meV/atom
space-group type = No. 115
energy relative to the elements, uncorrected = -61.34 kJ/mol of atoms


DFT (PBE) results for a relaxed structure of BeCd3Se4.

Lattice parameters (Å, degrees): 5.9296 5.9296 5.9296 90.00 90.00 90.00
Closest atoms and distances in Å follow each position.
Atoms (fractional coordinates):
Be1 0.0000 0.0000 0.0000  4 Se 2.29
Cd1 0.0000 0.5000 0.5000  4 Se 2.67
Cd2 0.5000 0.0000 0.5000  4 Se 2.67
Cd3 0.5000 0.5000 0.0000  4 Se 2.67
Se1 0.2227 0.2227 0.2227  1 Be 2.29
Se2 0.2227 0.7773 0.7773  1 Be 2.29
Se3 0.7773 0.2227 0.7773  1 Be 2.29
Se4 0.7773 0.7773 0.2227  1 Be 2.29

Calculated values
magnetic moment = 0.000 μB per formula unit
calculated volume = 208.5 Å³/f.u.
space-group type = No. 215
energy relative to the elements, uncorrected = -60.75 kJ/mol of atoms


DFT (PBE) results for a relaxed structure of BeCdSe2.

Lattice parameters (Å, degrees): 7.5917 7.5917 12.4820 90.73 90.73 100.43
Closest atoms and distances in Å follow each position.
Atoms (fractional coordinates):
Be1 0.0068 0.2808 0.1524  4 Se 2.22-2.34
Be2 0.2000 0.5095 0.6451  4 Se 2.21-2.36
Be3 0.2808 0.0068 0.6524  4 Se 2.22-2.34
Be4 0.4905 0.8000 0.8549  4 Se 2.21-2.36
Be5 0.5095 0.2000 0.1451  4 Se 2.21-2.36
Be6 0.7192 0.9932 0.3476  4 Se 2.22-2.34
Be7 0.8000 0.4905 0.3549  4 Se 2.21-2.36
Be8 0.9932 0.7192 0.8476  4 Se 2.22-2.34
Cd1 0.0318 0.2340 0.8861  4 Se 2.63-2.84
Cd2 0.2340 0.0318 0.3861  4 Se 2.63-2.84
Cd3 0.3550 0.5777 0.3962  4 Se 2.68-2.89
Cd4 0.4223 0.6450 0.1038  4 Se 2.68-2.89
Cd5 0.5777 0.3550 0.8962  4 Se 2.68-2.89
Cd6 0.6450 0.4223 0.6038  4 Se 2.68-2.89
Cd7 0.7660 0.9682 0.6139  4 Se 2.63-2.84
Cd8 0.9682 0.7660 0.1139  4 Se 2.63-2.84
Se1 0.0334 0.9666 0.7500  2 Be 2.23
Se2 0.0435 0.5259 0.2558  2 Be 2.21-2.22
Se3 0.2010 0.7596 0.5430  2 Be 2.29-2.30
Se4 0.2404 0.7990 0.9570  2 Be 2.29-2.30
Se5 0.2661 0.2849 0.0517  2 Be 2.34-2.36
Se6 0.2849 0.2661 0.5517  2 Be 2.34-2.36
Se7 0.4422 0.5578 0.7500  2 Be 2.22
Se8 0.4741 0.9565 0.2442  2 Be 2.21-2.22
Se9 0.5259 0.0435 0.7558  2 Be 2.21-2.22
Se10 0.5578 0.4422 0.2500  2 Be 2.22
Se11 0.7151 0.7339 0.4483  2 Be 2.34-2.36
Se12 0.7339 0.7151 0.9483  2 Be 2.34-2.36
Se13 0.7596 0.2010 0.0430  2 Be 2.29-2.30
Se14 0.7990 0.2404 0.4570  2 Be 2.29-2.30
Se15 0.9565 0.4741 0.7442  2 Be 2.21-2.22
Se16 0.9666 0.0334 0.2500  2 Be 2.23

Calculated values
magnetic moment = 0.000 μB per formula unit
calculated volume = 88.4 Å³/f.u.
excess energy over the best structure of this formula in the dataset = 158 meV/atom
space-group type = No. 15
energy relative to the elements, uncorrected = -50.88 kJ/mol of atoms


DFT (PBE) results for a relaxed structure of BeCdSe2.

Lattice parameters (Å, degrees): 3.9363 3.9363 6.4558 90.00 90.00 120.00
Closest atoms and distances in Å follow each position.
Atoms (fractional coordinates):
Be1 0.0000 0.0000 0.0000  4 Se 2.18-2.40
Cd1 0.6667 0.3333 0.5392  3 Se 2.62
Se1 0.0000 0.0000 0.3375  1 Be 2.18
Se2 0.3333 0.6667 0.8819  3 Be 2.40

Calculated values
magnetic moment = 0.000 μB per formula unit
calculated volume = 86.6 Å³/f.u.
excess energy over the best structure of this formula in the dataset = 206 meV/atom
space-group type = No. 156
energy relative to the elements, uncorrected = -46.26 kJ/mol of atoms


DFT (PBE) results for a relaxed structure of Be2CdSe.

Lattice parameters (Å, degrees): 4.8976 4.8976 2.6453 90.00 90.00 93.46
Closest atoms and distances in Å follow each position.
Atoms (fractional coordinates):
Be1 0.0000 0.5000 0.0000  2 Be 2.65, 4 Se 2.78, 4 Cd 2.78
Be2 0.5000 0.0000 0.0000  2 Be 2.65, 4 Se 2.78, 4 Cd 2.78
Cd1 0.0000 0.0000 0.5000  2 Cd 2.65, 8 Be 2.78
Se1 0.5000 0.5000 0.5000  2 Se 2.65, 8 Be 2.78

Calculated values
magnetic moment = 0.000 μB per formula unit
calculated volume = 63.3 Å³/f.u.
excess energy over the best structure of this formula in the dataset = 501 meV/atom
space-group type = No. 65
energy relative to the elements, uncorrected = 58.01 kJ/mol of atoms


DFT (PBE) results for a relaxed structure of BeCdSe2.

Lattice parameters (Å, degrees): 9.6814 9.6814 9.6814 18.79 18.79 18.79
Closest atoms and distances in Å follow each position.
Atoms (fractional coordinates):
Be1 0.0000 0.0000 0.0000  6 Se 2.37
Cd1 0.5000 0.5000 0.5000  6 Cd 3.16
Se1 0.2801 0.2801 0.2801  3 Be 2.37
Se2 0.7199 0.7199 0.7199  3 Be 2.37

Calculated values
magnetic moment = 0.000 μB per formula unit
calculated volume = 82.3 Å³/f.u.
excess energy over the best structure of this formula in the dataset = 640 meV/atom
space-group type = No. 166
energy relative to the elements, uncorrected = -4.41 kJ/mol of atoms


DFT (PBE) results for a relaxed structure of BeCdSe2.

Lattice parameters (Å, degrees): 3.9190 6.5919 7.0697 90.00 90.02 90.00
Closest atoms and distances in Å follow each position.
Atoms (fractional coordinates):
Be1 0.0010 0.0000 0.1543  4 Se 2.24-2.31
Be2 0.9990 0.5000 0.8457  4 Se 2.24-2.31
Cd1 0.4985 0.9932 0.6733  4 Se 2.65-2.68
Cd2 0.5015 0.4932 0.3267  4 Se 2.65-2.68
Se1 0.0012 0.6582 0.1255  2 Be 2.24-2.26
Se2 0.5005 0.0897 0.3057  2 Be 2.31
Se3 0.4995 0.5897 0.6943  2 Be 2.31
Se4 0.9988 0.1582 0.8745  2 Be 2.24-2.26

Calculated values
magnetic moment = 0.000 μB per formula unit
calculated volume = 91.3 Å³/f.u.
excess energy over the best structure of this formula in the dataset = 27 meV/atom
space-group type = No. 4
energy relative to the elements, uncorrected = -63.60 kJ/mol of atoms


DFT (PBE) results for a relaxed structure of BeCd2Se2.

Lattice parameters (Å, degrees): 7.4441 7.4441 7.4441 144.44 144.44 51.16
Closest atoms and distances in Å follow each position.
Atoms (fractional coordinates):
Be1 0.0000 0.0000 0.0000  8 Se 3.68, 8 Cd 4.05
Cd1 0.2500 0.7500 0.5000  4 Se 2.76
Cd2 0.7500 0.2500 0.5000  4 Se 2.76
Se1 0.3664 0.3664 0.0000  4 Cd 2.76
Se2 0.6336 0.6336 0.0000  4 Cd 2.76

Calculated values
magnetic moment = 0.000 μB per formula unit
calculated volume = 138.7 Å³/f.u.
space-group type = No. 139
energy relative to the elements, uncorrected = 30.82 kJ/mol of atoms


DFT (PBE) results for a relaxed structure of BeCdSe2.

Lattice parameters (Å, degrees): 4.6857 4.6857 3.6139 90.00 90.00 100.82
Closest atoms and distances in Å follow each position.
Atoms (fractional coordinates):
Be1 0.0000 0.0000 0.0000  8 Se 2.96, 2 Cd 2.99
Cd1 0.5000 0.5000 0.0000  8 Se 2.96, 2 Be 2.99
Se1 0.0000 0.5000 0.5000  4 Cd 2.96, 4 Be 2.96, 2 Se 2.99
Se2 0.5000 0.0000 0.5000  4 Cd 2.96, 4 Be 2.96, 2 Se 2.99

Calculated values
magnetic moment = 0.000 μB per formula unit
calculated volume = 77.9 Å³/f.u.
excess energy over the best structure of this formula in the dataset = 1064 meV/atom
space-group type = No. 65
energy relative to the elements, uncorrected = 36.48 kJ/mol of atoms


DFT (PBE) results for a relaxed structure of Be2CdSe.

Lattice parameters (Å, degrees): 4.4990 4.4990 4.4990 60.00 60.00 60.00
Closest atoms and distances in Å follow each position.
Atoms (fractional coordinates):
Be1 0.2500 0.2500 0.2500  4 Se 2.76, 4 Cd 2.76
Be2 0.7500 0.7500 0.7500  4 Se 2.76, 4 Cd 2.76
Cd1 0.0000 0.0000 0.0000  8 Be 2.76
Se1 0.5000 0.5000 0.5000  8 Be 2.76

Calculated values
magnetic moment = 0.000 μB per formula unit
calculated volume = 64.4 Å³/f.u.
excess energy over the best structure of this formula in the dataset = 669 meV/atom
space-group type = No. 225
energy relative to the elements, uncorrected = 74.22 kJ/mol of atoms


DFT (PBE) results for a relaxed structure of BeCdSe2.

Lattice parameters (Å, degrees): 7.4762 7.4762 13.6467 99.59 99.59 75.76
Closest atoms and distances in Å follow each position.
Atoms (fractional coordinates):
Be1 0.1510 0.7055 0.8595  4 Se 2.19-2.26
Be2 0.2945 0.8490 0.6405  4 Se 2.19-2.26
Be3 0.3468 0.3577 0.6620  4 Se 2.20-2.32
Be4 0.3577 0.3468 0.1620  4 Se 2.20-2.32
Be5 0.6423 0.6532 0.8380  4 Se 2.20-2.32
Be6 0.6532 0.6423 0.3380  4 Se 2.20-2.32
Be7 0.7055 0.1510 0.3595  4 Se 2.19-2.26
Be8 0.8490 0.2945 0.1405  4 Se 2.19-2.26
Cd1 0.0771 0.7271 0.3581  3 Se 2.67-2.79
Cd2 0.1320 0.2732 0.3977  5 Se 2.70-3.02
Cd3 0.2732 0.1320 0.8977  5 Se 2.70-3.02
Cd4 0.2729 0.9229 0.1419  3 Se 2.67-2.79
Cd5 0.7271 0.0771 0.8581  3 Se 2.67-2.79
Cd6 0.7268 0.8680 0.1023  5 Se 2.70-3.02
Cd7 0.8680 0.7268 0.6023  5 Se 2.70-3.02
Cd8 0.9229 0.2729 0.6419  3 Se 2.67-2.79
Se1 0.0832 0.9168 0.7500  2 Be 2.26
Se2 0.1078 0.2465 0.0655  2 Be 2.26-2.31
Se3 0.1788 0.4170 0.7867  2 Be 2.19-2.20
Se4 0.2327 0.5812 0.5543  2 Be 2.26-2.32
Se5 0.2465 0.1078 0.5655  2 Be 2.26-2.31
Se6 0.3599 0.6401 0.2500  2 Be 2.32
Se7 0.4170 0.1788 0.2867  2 Be 2.19-2.20
Se8 0.4188 0.7673 0.9457  2 Be 2.26-2.32
Se9 0.5812 0.2327 0.0543  2 Be 2.26-2.32
Se10 0.5830 0.8212 0.7133  2 Be 2.19-2.20
Se11 0.6401 0.3599 0.7500  2 Be 2.32
Se12 0.7535 0.8922 0.4345  2 Be 2.26-2.31
Se13 0.7673 0.4188 0.4457  2 Be 2.26-2.32
Se14 0.8212 0.5830 0.2133  2 Be 2.19-2.20
Se15 0.8922 0.7535 0.9345  2 Be 2.26-2.31
Se16 0.9168 0.0832 0.2500  2 Be 2.26

Calculated values
magnetic moment = 0.000 μB per formula unit
calculated volume = 90.3 Å³/f.u.
excess energy over the best structure of this formula in the dataset = 160 meV/atom
space-group type = No. 15
energy relative to the elements, uncorrected = -50.73 kJ/mol of atoms


DFT (PBE) results for a relaxed structure of BeCdSe2.

Lattice parameters (Å, degrees): 6.7952 6.7952 6.7952 129.77 129.77 73.78
Closest atoms and distances in Å follow each position.
Atoms (fractional coordinates):
Be1 0.0000 0.0000 0.0000  4 Se 2.26
Be2 0.7500 0.2500 0.5000  4 Se 2.26
Cd1 0.2500 0.7500 0.5000  4 Se 2.67
Cd2 0.5000 0.5000 0.0000  4 Se 2.67
Se1 0.0640 0.6250 0.9390  2 Be 2.26
Se2 0.3750 0.3140 0.4390  2 Be 2.26
Se3 0.6860 0.1250 0.0610  2 Be 2.26
Se4 0.8750 0.9360 0.5610  2 Be 2.26

Calculated values
magnetic moment = 0.000 μB per formula unit
calculated volume = 90.4 Å³/f.u.
excess energy over the best structure of this formula in the dataset = 3 meV/atom
space-group type = No. 122
energy relative to the elements, uncorrected = -65.92 kJ/mol of atoms


- The lowest energy relative to the elements, uncorrected belongs to which entry?
  number 12


- Which of these has the lowest calculated volume?
  number 5